Entry from Alexandria via LeMat-Bulk: NdZrZnOs after structural relaxation (PBE).

abc: 4.886 4.886 4.886
angles: 60.00 60.00 60.00
Element x y z (fractional)
Nd1 0.750 0.750 0.750
Zn1 0.000 0.000 0.000
Os1 0.500 0.500 0.500
Zr1 0.250 0.250 0.250

## Properties
- symmetry = F-43m


Entry from Alexandria via LeMat-Bulk: Ac2Al6CuPd after structural relaxation (PBE).

abc: 6.494 7.051 6.491
angles: 62.63 59.98 90.00
Element x y z (fractional)
Ac1 0.793 0.380 0.414
Ac2 0.207 0.620 0.586
Al1 0.248 0.157 0.503
Al2 0.751 0.843 0.910
Al3 0.340 0.843 0.909
Al4 0.660 0.157 0.091
Al5 0.249 0.157 0.090
Al6 0.752 0.843 0.497
Cu1 0.000 0.000 0.000
Pd1 0.500 0.500 0.000

## Properties
- symmetry = C2/m


Entry from Alexandria via LeMat-Bulk: Er3CdAu after structural relaxation (PBE).

abc: 5.116 5.105 10.118
angles: 90.00 75.36 90.00
Site moments in Bohr magnetons follow the coordinates.
Element x y z (fractional)
Er1 0.759 0.250 0.129  0.07
Er2 0.385 0.250 0.878  0.06
Er3 0.573 0.250 0.502  0.01
Er4 0.263 0.750 0.122  0.06
Er5 0.889 0.750 0.871  0.07
Er6 0.075 0.750 0.498  0.01
Cd1 0.478 0.750 0.692  0.00
Cd2 0.170 0.250 0.308  0.00
Au1 0.662 0.750 0.325  0.00
Au2 0.987 0.250 0.675  0.00

## Properties
- symmetry = Cmcm
- energy relative to the lowest polymorph listed for this composition (meV per atom) = 0.0


Computed uncorrected energy, in the same sequence as the records: -6.572, -4.369, -4.009 eV/atom.
Computed calculated formation energy, in the same sequence as the records: -0.12, -0.37, -0.43 eV/atom.